(1)
# HfAu2F

A relaxed structure of HfAu2F (PBE-GGA, OQMD via LeMat-Bulk).

Cell: 3.323 3.323 7.600 Å, 90.00 90.00 120.00°
Site moments in Bohr magnetons follow the coordinates.
Sites, in units of the cell vectors:
Hf 0.333 0.667 0.454  0.23
Au 0.667 0.333 0.206  0.04
F 0.000 0.000 0.001  0.01
Au 0.333 0.667 0.782  0.01

Total DFT energy (no corrections) ... -19.6 eV for the cell shown
Volume ... 73 Å³/f.u.

=====

(2)
# HgAu2F12

A relaxed structure of HgAu2F12 (PBE-GGA, OQMD via LeMat-Bulk).

Cell: 8.895 9.044 9.119 Å, 90.00 90.00 90.00°
Sites, in units of the cell vectors:
Au 0.265 0.150 0.495
F 0.710 0.485 0.882
F 0.403 0.606 0.364
F 0.883 0.733 0.396
Au 0.265 0.850 0.995
Au 0.235 0.650 0.495
F 0.595 0.960 0.623
F 0.081 0.305 0.134
F 0.097 0.894 0.864
Au 0.735 0.150 0.005
F 0.595 0.040 0.123
F 0.617 0.233 0.396
Au 0.765 0.350 0.505
F 0.905 0.460 0.623
F 0.210 0.985 0.618
F 0.617 0.767 0.896
F 0.405 0.960 0.877
F 0.095 0.540 0.377
Hg 0.500 0.594 0.750
F 0.210 0.015 0.118
F 0.704 0.324 0.125
F 0.081 0.695 0.634
F 0.903 0.894 0.636
Au 0.235 0.350 0.995
F 0.097 0.106 0.364
F 0.296 0.676 0.875
F 0.905 0.540 0.123
F 0.597 0.394 0.636
F 0.883 0.267 0.896
Hg 0.000 0.906 0.250
F 0.903 0.106 0.136
F 0.796 0.176 0.625
F 0.296 0.324 0.375
F 0.919 0.305 0.366
F 0.710 0.515 0.382
F 0.383 0.767 0.604
F 0.790 0.015 0.382
F 0.117 0.733 0.104
F 0.419 0.805 0.134
Hg 0.500 0.406 0.250
Au 0.765 0.650 0.005
F 0.405 0.040 0.377
F 0.419 0.195 0.634
F 0.597 0.606 0.136
F 0.383 0.233 0.104
F 0.581 0.195 0.866
F 0.290 0.485 0.618
F 0.290 0.515 0.118
F 0.704 0.676 0.625
F 0.581 0.805 0.366
Au 0.735 0.850 0.505
F 0.204 0.176 0.875
F 0.796 0.824 0.125
F 0.790 0.985 0.882
F 0.403 0.394 0.864
Hg 0.000 0.094 0.750
F 0.117 0.267 0.604
F 0.095 0.460 0.877
F 0.919 0.695 0.866
F 0.204 0.824 0.375

Total DFT energy (no corrections) ... -170.3 eV for the cell shown
Volume ... 183 Å³/f.u.

=====

(3)
# Hg2Te2AuF2

A relaxed structure of Hg2Te2AuF2 (PBE-GGA, OQMD via LeMat-Bulk).

Cell: 3.921 3.921 9.797 Å, 90.00 90.00 90.00°
Sites, in units of the cell vectors:
Te 0.500 0.000 0.804
Au 0.000 0.000 0.000
F 0.000 0.000 0.500
Hg 0.000 0.500 0.652
Hg 0.500 0.000 0.348
Te 0.000 0.500 0.196
F 0.500 0.500 0.500

Total DFT energy (no corrections) ... -17.6 eV for the cell shown
Volume ... 151 Å³/f.u.

=====

(4)
# Ho2Au5F21

A relaxed structure of Ho2Au5F21 (PBE-GGA, OQMD via LeMat-Bulk).

Cell: 7.607 8.526 11.244 Å, 87.73 86.86 86.63°
Sites, in units of the cell vectors:
F 0.906 0.247 0.094
Au 0.572 0.516 0.788
Au 0.162 0.241 0.895
F 0.550 0.720 0.351
F 0.414 0.592 0.917
Au 0.801 0.728 0.391
F 0.500 0.000 0.000
F 0.614 0.392 0.309
Ho 0.307 0.689 0.499
F 0.254 0.257 0.128
F 0.748 0.423 0.895
F 0.071 0.818 0.142
F 0.746 0.743 0.872
F 0.855 0.207 0.353
F 0.262 0.943 0.420
F 0.742 0.434 0.666
F 0.776 0.944 0.338
F 0.807 0.738 0.630
F 0.500 0.500 0.500
F 0.497 0.156 0.438
F 0.738 0.057 0.580
F 0.604 0.126 0.190
F 0.856 0.505 0.437
Ho 0.326 0.813 0.007
Au 0.199 0.272 0.609
F 0.450 0.280 0.649
F 0.958 0.238 0.575
F 0.503 0.844 0.562
Au 0.838 0.759 0.105
F 0.094 0.753 0.906
F 0.409 0.287 0.918
Au 0.952 0.754 0.764
Au 0.428 0.484 0.212
F 0.193 0.262 0.370
F 0.145 0.793 0.647
Au 0.434 0.031 0.305
F 0.871 0.553 0.182
F 0.654 0.111 0.805
F 0.129 0.447 0.818
F 0.258 0.566 0.334
F 0.591 0.713 0.082
F 0.144 0.495 0.563
F 0.586 0.408 0.083
F 0.929 0.182 0.858
F 0.224 0.056 0.662
F 0.386 0.608 0.691
F 0.168 0.034 0.980
Au 0.566 0.969 0.695
Au 0.048 0.246 0.236
F 0.832 0.966 0.020
F 0.252 0.577 0.105
F 0.042 0.762 0.425
F 0.396 0.874 0.810
F 0.346 0.889 0.195
Ho 0.693 0.311 0.501
Ho 0.674 0.187 0.993

Total DFT energy (no corrections) ... -232.0 eV for the cell shown
Volume ... 363 Å³/f.u.

=====

(5)
# Au6IF

A relaxed structure of Au6IF (PBE-GGA, OQMD via LeMat-Bulk).

Cell: 6.342 6.342 6.342 Å, 60.00 60.00 60.00°
Sites, in units of the cell vectors:
Au 0.223 0.777 0.223
Au 0.777 0.777 0.223
I 0.250 0.250 0.250
Au 0.777 0.223 0.777
Au 0.223 0.223 0.777
Au 0.777 0.223 0.223
F 0.500 0.500 0.500
Au 0.223 0.777 0.777

Total DFT energy (no corrections) ... -20.6 eV for the cell shown
Volume ... 180 Å³/f.u.

=====

(6)
# PbAuIF2

A relaxed structure of PbAuIF2 (PBE-GGA, OQMD via LeMat-Bulk).

Cell: 6.938 6.938 5.618 Å, 90.00 90.00 131.45°
Sites, in units of the cell vectors:
Pb 0.905 0.095 0.250
Au 0.345 0.655 0.750
F 0.751 0.751 0.500
Au 0.655 0.345 0.250
F 0.751 0.751 0.000
I 0.260 0.740 0.250
F 0.249 0.249 0.500
I 0.740 0.260 0.750
Pb 0.095 0.905 0.750
F 0.249 0.249 0.000

Total DFT energy (no corrections) ... -35.5 eV for the cell shown
Volume ... 101 Å³/f.u.